PBEsol HgRu2Rh, relaxed; total DFT energy (no corrections) = -6.893 eV per atom
1.0
4.5245 -1.3801 0.0000
4.5245 1.3801 0.0000
-0.8361 0.0000 4.7536
Hg Ru Rh
1 2 1
direct
0.0000 0.0000 0.0000
0.2407 0.2407 0.7065
0.5018 0.5018 0.5074
0.7572 0.7572 0.2537